Here is KZnFe2 after structural relaxation from Alexandria. Energies are from GGA-PBE.

Unit cell a=4.4616 b=4.0701 c=4.0701 alpha=90.00 beta=90.00 gamma=90.00
Last column: magnetic moment on the atom in μB.
Atoms (fractional coordinates):
Fe1 0.0000 0.0000 0.0000  2.77
Fe2 0.0000 0.5000 0.5000  2.77
K1 0.5000 0.5000 0.0000  -0.03
Zn1 0.5000 0.0000 0.5000  -0.06

Values from the calculation:
Crystal system = tetragonal
Calculated formation energy = 1.14 eV/atom
Volume = 73.9 Å³/cell

***

Here is CsGeSbI2 after structural relaxation from Alexandria. Energies are from GGA-PBE.

Unit cell a=7.1541 b=7.1541 c=7.2677 alpha=90.00 beta=90.00 gamma=90.00
Last column: magnetic moment on the atom in μB.
Atoms (fractional coordinates):
I1 0.0000 0.5000 0.0000  0.16
Sb1 0.0000 0.0000 0.5000  1.02
I2 0.5000 0.0000 0.0000  0.16
Ge1 0.5000 0.5000 0.5000  -0.53
Cs1 0.0000 0.0000 0.0000  0.04

Values from the calculation:
Crystal system = tetragonal
Excess energy over the best structure of this formula in the dataset = 1105.3 meV per atom
Volume = 372.0 Å³/cell

***

Here is ZrC3 after structural relaxation from Alexandria. Energies are from GGA-PBE.

Unit cell a=3.4076 b=3.4076 c=3.4076 alpha=90.00 beta=90.00 gamma=90.00
Atoms (fractional coordinates):
C1 0.5000 0.0000 0.5000
Zr1 0.0000 0.0000 0.0000
C2 0.5000 0.5000 0.0000
C3 0.0000 0.5000 0.5000

Values from the calculation:
Crystal system = cubic
Calculated formation energy = 1.82 eV/atom
Excess energy over the best structure of this formula in the dataset = 1561.0 meV per atom
Volume = 39.6 Å³/cell

***

Here is SnSbW after structural relaxation from Alexandria. Energies are from GGA-PBE.

Unit cell a=5.7910 b=7.2295 c=6.9852 alpha=90.00 beta=90.00 gamma=113.61
Atoms (fractional coordinates):
Sn1 0.2026 0.4051 0.5754
Sn2 0.7974 0.5949 0.4246
Sb1 0.6939 0.8878 0.7500
W1 0.1055 0.2109 0.9161
Sn3 0.7026 0.4051 0.9246
W2 0.3945 0.7891 0.4161
Sn4 0.2974 0.5949 0.0754
Sb2 0.8061 0.1122 0.2500
W3 0.8945 0.7891 0.0839
Sb3 0.1939 0.8878 0.7500
W4 0.6055 0.2109 0.5839
Sb4 0.3061 0.1122 0.2500

Values from the calculation:
Crystal system = orthorhombic
Volume = 268.0 Å³/cell

***

Here is Ba2CaTlRh after structural relaxation from Alexandria. Energies are from GGA-PBE.

Unit cell a=6.0547 b=6.0547 c=5.4752 alpha=90.00 beta=90.00 gamma=90.00
Atoms (fractional coordinates):
Tl1 0.5000 0.5000 0.5000
Ca1 0.0000 0.0000 0.5000
Ba1 0.0000 0.5000 0.0000
Ba2 0.5000 0.0000 0.0000
Rh1 0.0000 0.0000 0.0000

Values from the calculation:
Crystal system = tetragonal
Calculated formation energy = -0.20 eV/atom
Excess energy over the best structure of this formula in the dataset = 0.0 meV per atom
Volume = 200.7 Å³/cell

***

Here is LaFeSi2 after structural relaxation from Alexandria. Energies are from GGA-PBE.

Unit cell a=3.1568 b=3.1568 c=6.8477 alpha=90.00 beta=90.00 gamma=90.00
Last column: magnetic moment on the atom in μB.
Atoms (fractional coordinates):
La1 0.5000 0.5000 0.7427  -0.06
Si1 0.5000 0.5000 0.2791  -0.02
Fe1 0.0000 0.0000 0.4082  0.61
Si2 0.0000 0.0000 0.0700  -0.01

Values from the calculation:
Crystal system = tetragonal
Volume = 68.2 Å³/cell

***

Here is LuTaO4 after structural relaxation from Alexandria. Energies are from GGA-PBE.

Unit cell a=5.7511 b=5.0136 c=5.2494 alpha=86.66 beta=90.00 gamma=90.00
Atoms (fractional coordinates):
O1 0.4043 0.2842 0.4539
Ta1 0.6795 0.5000 0.2500
O2 0.5957 0.7158 0.5461
Lu1 0.1958 0.0000 0.2500
Ta2 0.3205 0.5000 0.7500
Lu2 0.8042 0.0000 0.7500
O3 0.5957 0.2842 0.9539
O4 0.4043 0.7158 0.0461
O5 0.8886 0.7595 0.1027
O6 0.1114 0.7595 0.6027
O7 0.1114 0.2405 0.8973
O8 0.8886 0.2405 0.3973

Values from the calculation:
Crystal system = monoclinic
Volume = 151.1 Å³/cell

***

Here is Pm4Sm5Sn2 after structural relaxation from Alexandria. Energies are from GGA-PBE.

Unit cell a=5.3140 b=5.3140 c=15.9975 alpha=80.44 beta=80.44 gamma=60.00
Last column: magnetic moment on the atom in μB.
Atoms (fractional coordinates):
Pm1 0.2738 0.2738 0.1785  -0.01
Sn1 0.8786 0.8786 0.3641  0.00
Pm2 0.5723 0.5723 0.2830  0.02
Sm1 0.6477 0.6477 0.0569  -0.01
Sn2 0.1214 0.1214 0.6359  0.00
Sm2 0.8041 0.8041 0.5876  0.07
Pm3 0.4277 0.4277 0.7170  0.02
Sm3 0.5000 0.5000 0.5000  0.18
Pm4 0.7262 0.7262 0.8215  -0.01
Sm4 0.1959 0.1959 0.4124  0.07
Sm5 0.3523 0.3523 0.9431  -0.01

Values from the calculation:
Crystal system = trigonal
Calculated formation energy = 0.08 eV/atom
Volume = 384.0 Å³/cell

***

Here is Pm5Tl2Ag2 after structural relaxation from Alexandria. Energies are from GGA-PBE.

Unit cell a=7.5215 b=8.6737 c=9.3069 alpha=117.77 beta=90.00 gamma=90.00
Atoms (fractional coordinates):
Tl1 0.0000 0.2107 0.4214
Tl2 0.0000 0.7893 0.5786
Pm1 0.0000 0.0000 0.0000
Pm2 0.1564 0.1825 0.7308
Ag1 0.1254 0.6268 0.0000
Ag2 0.6254 0.8732 0.0000
Pm3 0.5000 0.5000 0.0000
Pm4 0.3436 0.9516 0.2692
Pm5 0.8436 0.5484 0.7308
Pm6 0.3436 0.6825 0.7308
Pm7 0.1564 0.4516 0.2692
Tl3 0.5000 0.7107 0.4214
Tl4 0.5000 0.2893 0.5786
Ag3 0.3746 0.1268 0.0000
Ag4 0.8746 0.3732 0.0000
Pm8 0.6564 0.3175 0.2692
Pm9 0.8436 0.8175 0.2692
Pm10 0.6564 0.0484 0.7308

Values from the calculation:
Crystal system = orthorhombic
Calculated formation energy = -0.23 eV/atom
Volume = 537.2 Å³/cell

***

Here is TiSbN2F after structural relaxation from Alexandria. Energies are from GGA-PBE.

Unit cell a=4.1082 b=4.1082 c=4.0413 alpha=90.00 beta=90.00 gamma=90.00
Last column: magnetic moment on the atom in μB.
Atoms (fractional coordinates):
N1 0.5000 0.0000 0.0000  0.03
Sb1 0.0000 0.0000 0.0000  0.00
F1 0.0000 0.0000 0.5000  0.00
N2 0.0000 0.5000 0.0000  0.03
Ti1 0.5000 0.5000 0.5000  -0.47

Values from the calculation:
Crystal system = tetragonal
Excess energy over the best structure of this formula in the dataset = 960.6 meV per atom
Volume = 68.2 Å³/cell

***

Here is LiSbRh2 after structural relaxation from Alexandria. Energies are from GGA-PBE.

Unit cell a=7.7068 b=7.7068 c=7.7068 alpha=24.21 beta=24.21 gamma=24.21
Atoms (fractional coordinates):
Rh1 0.9987 0.9987 0.9987
Sb1 0.2500 0.2500 0.2500
Li1 0.7500 0.7500 0.7500
Rh2 0.5013 0.5013 0.5013

Values from the calculation:
Crystal system = trigonal
Volume = 67.7 Å³/cell

***

Here is ReNi2Os after structural relaxation from Alexandria. Energies are from GGA-PBE.

Unit cell a=5.8205 b=4.5688 c=2.6260 alpha=89.99 beta=63.21 gamma=120.48
Atoms (fractional coordinates):
Ni1 0.0000 0.0000 0.0000
Re1 0.5000 0.5000 0.0000
Ni2 0.5000 0.0000 0.5000
Os1 0.0000 0.5000 0.5000

Values from the calculation:
Crystal system = orthorhombic
Calculated formation energy = 0.15 eV/atom
Excess energy over the best structure of this formula in the dataset = 138.4 meV per atom
Volume = 51.3 Å³/cell

***

no.,final energy (eV/cell),density of states at the Fermi level (states/eV/cell)
1,-14.75,3.87
2,-8.85,10.61
3,-28.93,2.00
4,-78.65,8.94
5,-16.55,6.79
6,-24.90,3.02
7,-111.90,0.00
8,-49.69,15.76
9,-72.44,20.14
10,-28.86,6.58
11,-20.89,3.49
12,-34.65,5.15